(1)
Here is an optimized crystal structure of RbAs2Pb from Alexandria. Energies are from PBE-GGA.

a b c (Å): 8.2944 8.2944 8.0649
angles (deg): 90.00 90.00 90.00
Space group I-42d (No. 122)
Unique sites:
Rb  0.0000  0.0000  0.0000 x4
As  0.1790  0.2500  0.6250 x8
Pb  0.0000  0.0000  0.5000 x4

Results
M_tot: 0.186 μB/atom
ΔH_f (0 K): 0.07 eV/atom

***

(2)
Here is an optimized crystal structure of RbAs2Pb3 from Alexandria. Energies are from PBE-GGA.

a b c (Å): 18.6584 4.1784 11.0452
angles (deg): 90.00 107.72 90.00
Space group C2/m (No. 12)
Unique sites:
Rb  0.0995  0.0000  0.1383 x4
As  0.0535  0.5000  0.8378 x4
As  0.2370  0.0000  0.6886 x4
Pb  0.0613  0.0000  0.6623 x4
Pb  0.1717  0.5000  0.5025 x4
Pb  0.2084  0.5000  0.8806 x4

Results
M_tot: 0.000 μB/atom
ΔH_f (0 K): -0.13 eV/atom

***

(3)
Here is an optimized crystal structure of RbAsPb from Alexandria. Energies are from PBE-GGA.

a b c (Å): 5.9904 4.3448 8.5612
angles (deg): 90.00 99.56 90.00
Space group P2_1/m (No. 11)
Unique sites:
Rb  0.2294  0.2500  0.3491 x2
As  0.3533  0.2500  0.7665 x2
Pb  0.2542  0.7500  0.9675 x2

Results
M_tot: 0.000 μB/atom
ΔH_f (0 K): -0.29 eV/atom

***

(4)
Here is an optimized crystal structure of RbAsPb3 from Alexandria. Energies are from PBE-GGA.

a b c (Å): 6.0817 6.0817 6.0817
angles (deg): 90.00 90.00 90.00
Space group Pm-3m (No. 221)
Unique sites:
Rb  0.0000  0.0000  0.0000 x1
As  0.5000  0.5000  0.5000 x1
Pb  0.0000  0.0000  0.5000 x3

Results
M_tot: 0.000 μB/atom
ΔH_f (0 K): 1.40 eV/atom
E above lowest polymorph: 1.223 eV per atom

***

(5)
Here is an optimized crystal structure of Rb3AsPb4 from Alexandria. Energies are from PBE-GGA.

a b c (Å): 6.9809 13.5839 6.8432
angles (deg): 90.00 90.00 90.00
Space group Pmmn (No. 59, origin choice 2)
Unique sites:
Rb  0.2500  0.0054  0.1826 x4
Rb  0.2500  0.7500  0.5531 x2
As  0.2500  0.2500  0.3377 x2
Pb  0.0041  0.2500  0.9619 x4
Pb  0.2500  0.1152  0.6724 x4

Results
M_tot: 0.000 μB/atom
ΔH_f (0 K): -0.18 eV/atom

***

(6)
Here is an optimized crystal structure of Rb3AsPb from Alexandria. Energies are from PBE-GGA.

a b c (Å): 6.6669 6.6669 6.6669
angles (deg): 90.00 90.00 90.00
Space group Pm-3m (No. 221)
Unique sites:
Rb  0.0000  0.0000  0.5000 x3
As  0.0000  0.0000  0.0000 x1
Pb  0.5000  0.5000  0.5000 x1

Results
M_tot: 0.731 μB/atom
ΔH_f (0 K): 0.14 eV/atom
E above lowest polymorph: 0.317 eV per atom

***

(7)
Here is an optimized crystal structure of RbAs3Pb from Alexandria. Energies are from PBE-GGA.

a b c (Å): 5.5527 5.5527 5.5527
angles (deg): 90.00 90.00 90.00
Space group Pm-3m (No. 221)
Unique sites:
Rb  0.0000  0.0000  0.0000 x1
As  0.0000  0.0000  0.5000 x3
Pb  0.5000  0.5000  0.5000 x1

Results
M_tot: 0.000 μB/atom
ΔH_f (0 K): 1.40 eV/atom
E above lowest polymorph: 0.841 eV per atom

***

(8)
Here is an optimized crystal structure of RbAsPb from Alexandria. Energies are from PBE-GGA.

a b c (Å): 3.8892 3.8892 13.1346
angles (deg): 90.00 90.00 90.00
Space group I4mm (No. 107)
Unique sites:
Rb  0.0000  0.0000  0.0000 x2
As  0.0000  0.0000  0.6885 x2
Pb  0.0000  0.0000  0.2822 x2

Results
M_tot: 0.000 μB/atom
ΔH_f (0 K): -0.18 eV/atom

***

(9)
Here is an optimized crystal structure of RbAs2Pb2 from Alexandria. Energies are from PBE-GGA.

a b c (Å): 5.3719 5.3719 11.5762
angles (deg): 90.00 90.00 90.00
Space group I4/mmm (No. 139)
Unique sites:
Rb  0.0000  0.0000  0.0000 x2
As  0.0000  0.5000  0.2500 x4
Pb  0.0000  0.0000  0.3540 x4

Results
M_tot: 0.000 μB/atom
ΔH_f (0 K): -0.11 eV/atom

***

(10)
Here is an optimized crystal structure of RbAs2Pb2 from Alexandria. Energies are from PBE-GGA.

a b c (Å): 5.1766 5.1766 12.1809
angles (deg): 90.00 90.00 90.00
Space group I4/mmm (No. 139)
Unique sites:
Rb  0.0000  0.0000  0.0000 x2
As  0.0000  0.0000  0.3874 x4
Pb  0.0000  0.5000  0.2500 x4

Results
M_tot: 0.000 μB/atom
ΔH_f (0 K): -0.15 eV/atom

***

(11)
Here is an optimized crystal structure of Rb2AsPbS4 from Alexandria. Energies are from PBE-GGA.

a b c (Å): 6.6657 14.0685 24.8023
angles (deg): 90.00 90.00 90.00
Space group Fddd (No. 70, origin choice 2)
Unique sites:
Rb  0.1250  0.1250  0.3104 x16
As  0.1250  0.1250  0.6250 x8
Pb  0.1250  0.1250  0.1250 x8
S  0.0712  0.2706  0.8229 x32

Results
M_tot: 0.000 μB/atom
ΔE_f (raw): -0.4875 eV per atom

***

(12)
Here is an optimized crystal structure of RbAsPb2Se4 from Alexandria. Energies are from PBE-GGA.

a b c (Å): 12.9599 12.9922 8.8432
angles (deg): 90.00 132.69 90.00
Space group C2 (No. 5)
Unique sites:
Rb  0.0068  0.0000  0.2530 x4
As  0.2320  0.2753  0.1680 x4
Pb  0.0083  0.5012  0.7483 x4
Pb  0.2316  0.2666  0.7415 x4
Se  0.0288  0.2629  0.7853 x4
Se  0.0682  0.7441  0.8096 x4
Se  0.2210  0.4798  0.7220 x4
Se  0.2314  0.4567  0.2172 x4

Results
M_tot: 0.000 μB/atom
ΔE_f (raw): -0.5508 eV per atom

***

(13)
Here is an optimized crystal structure of RbAsPbSe2 from Alexandria. Energies are from PBE-GGA.

a b c (Å): 5.7589 5.7589 5.5125
angles (deg): 90.00 90.00 90.00
Space group P4/mmm (No. 123)
Unique sites:
Rb  0.0000  0.0000  0.0000 x1
As  0.0000  0.0000  0.5000 x1
Pb  0.5000  0.5000  0.5000 x1
Se  0.0000  0.5000  0.0000 x2

Results
M_tot: 0.026 μB/atom
ΔE_f (raw): 0.9503 eV per atom
E above lowest polymorph: 0.906 eV per atom